Sn2PdPt3, relaxed, DFT PBE; polymorph energy (0 for the lowest one) = 0.72 eV per formula unit; electronic total energy = -5.514 eV per atom; formation energy = -294 meV per atom; crystal system = orthorhombic; ρ = 12.494 Mg/m³
1.0
-3.5823 6.1887 2.7850
3.5823 -6.1887 2.7850
3.5823 6.1887 -2.7850
Sn Pd Pt
4 2 6
direct
0.1480 0.1855 0.3335 Sn
0.3520 0.6855 0.0375 Sn
0.6480 0.3145 0.9625 Sn
0.8520 0.8145 0.6665 Sn
0.0000 0.5000 0.5000 Pd
0.5000 0.0000 0.5000 Pd
0.0540 0.7500 0.3040 Pt
0.2500 0.2500 0.0000 Pt
0.4460 0.7500 0.6960 Pt
0.5540 0.2500 0.3040 Pt
0.7500 0.7500 0.0000 Pt
0.9460 0.2500 0.6960 Pt

---

SnPd6Pt8, relaxed, DFT PBE; polymorph energy (0 for the lowest one) = 0.00 eV per formula unit; electronic total energy = -5.565 eV per atom; formation energy = 1 meV per atom; crystal system = trigonal; ρ = 15.672 Mg/m³
1.0
3.4415 1.9870 5.9856
-3.4415 1.9870 5.9856
0.0000 -3.9740 5.9856
Sn Pd Pt
1 6 8
direct
0.0000 0.0000 0.0000 Sn
0.0758 0.5418 0.2484 Pd
0.2484 0.0758 0.5418 Pd
0.4582 0.7516 0.9242 Pd
0.5418 0.2484 0.0758 Pd
0.7516 0.9242 0.4582 Pd
0.9242 0.4582 0.7516 Pd
0.1614 0.1614 0.1614 Pt
0.2270 0.6956 0.4012 Pt
0.3044 0.5988 0.7730 Pt
0.4012 0.2270 0.6956 Pt
0.5988 0.7730 0.3044 Pt
0.6956 0.4012 0.2270 Pt
0.7730 0.3044 0.5988 Pt
0.8386 0.8386 0.8386 Pt

---

Sn2Pd5Pt, relaxed, DFT PBE; polymorph energy (0 for the lowest one) = 0.00 eV per formula unit; electronic total energy = -5.496 eV per atom; formation energy = -494 meV per atom; crystal system = orthorhombic; ρ = 12.128 Mg/m³
1.0
5.7165 0.0000 0.0000
0.0000 11.4369 0.0000
0.0000 0.0000 4.0402
Sn Pd Pt
4 10 2
direct
0.2490 0.1251 0.0000 Sn
0.2510 0.6251 0.0000 Sn
0.7490 0.3749 0.0000 Sn
0.7510 0.8749 0.0000 Sn
0.0000 0.5000 0.5000 Pd
0.0024 0.7506 0.5000 Pd
0.2477 0.3747 0.0000 Pd
0.2523 0.8747 0.0000 Pd
0.4976 0.2506 0.5000 Pd
0.5000 0.0000 0.5000 Pd
0.5024 0.7494 0.5000 Pd
0.7477 0.1253 0.0000 Pd
0.7523 0.6253 0.0000 Pd
0.9976 0.2494 0.5000 Pd
0.0000 0.0000 0.5000 Pt
0.5000 0.5000 0.5000 Pt